PBE Al3TeAu, optimized geometry; energy above the lowest structure with this stoichiometry = 0.000 eV/atom; E = -3.550 eV per atom
1.0
4.934 0.000 0.000
0.000 4.934 0.000
0.000 0.000 4.934
Al Te Au
3 1 1
Direct
0.000 0.000 0.500
0.000 0.500 0.000
0.500 0.000 0.000
0.500 0.500 0.500
0.000 0.000 0.000